5
Lattice="-2.671 -0.881 -3.063 -1.458 -3.216 2.196 -3.192 2.799 1.978" Properties=species:S:1:pos:R:3 comment="Nb2CBrF (PBEsol, optimized geometry)" formation_energy_uncorrected_kcal_per_mol_atoms=30.48 dos_ef_per_ev_cell=5.36 pbc="T T T"
Nb -0.729 -1.608 1.098
Nb -1.335 -0.440 -1.532
C -3.661 -0.649 0.556
Br -1.596 1.399 0.989
F 0.000 0.000 0.000

5
Lattice="-0.828 0.091 4.205 2.080 -3.716 0.490 3.868 2.259 0.713" Properties=species:S:1:pos:R:3 comment="CSe2BrF (PBEsol, optimized geometry)" formation_energy_uncorrected_kcal_per_mol_atoms=21.44 dos_ef_per_ev_cell=4.41 pbc="T T T"
C 0.000 0.000 0.000
Se 1.040 -1.858 0.245
Se -0.414 0.046 2.102
Br 1.934 1.129 0.356
F 2.560 -0.683 2.704

8
Lattice="-0.969 4.908 0.066 -4.075 -3.328 -2.040 -3.913 -0.813 3.009" Properties=species:S:1:pos:R:3 comment="FeC2Br (PBEsol, optimized geometry)" formation_energy_uncorrected_kcal_per_mol_atoms=32.74 dos_ef_per_ev_cell=6.23 pbc="T T T"
C -5.001 -0.385 -0.369
C -6.730 -1.942 1.120
C -3.793 3.062 1.028
C -2.391 0.799 0.291
Fe -3.258 -0.640 -0.251
Fe -2.441 2.047 1.537
Br -5.699 1.407 1.286
Br 0.000 0.000 0.000

22
Lattice="-4.459 3.995 -5.000 -3.406 -3.671 -5.980 -7.728 -1.057 -0.036" Properties=species:S:1:pos:R:3 comment="FePH12C4Br4 (PBEsol, optimized geometry)" final_energy_ev_per_atom=-4.8764 pbc="T T T"
Fe -11.695 -0.550 -8.261
P -3.898 -0.183 -2.754
H -8.035 1.449 -7.664
H -7.246 2.299 -6.280
H -9.035 2.054 -6.289
H -6.235 -0.454 -3.150
H -5.479 0.716 -4.298
H -5.235 -1.059 -4.525
H -7.618 -1.590 -8.053
H -8.374 -2.759 -6.904
H -6.585 -2.514 -6.895
H -9.299 -0.873 -3.164
H -10.087 -1.722 -4.548
H -10.331 0.052 -4.321
C -8.148 2.250 -6.914
C -5.355 -0.252 -3.783
C -7.489 -2.551 -7.528
C -10.195 -0.914 -3.806
Br -11.421 -2.588 -7.166
Br -13.597 -0.640 -9.605
Br -11.935 1.151 -6.688
Br -9.827 -0.124 -9.587

5
Lattice="3.815 0.000 0.000 0.000 4.287 0.000 0.000 0.000 4.287" Properties=species:S:1:pos:R:3 comment="Fe2ReCBr (PBEsol, optimized geometry)" formation_energy_uncorrected_kcal_per_mol_atoms=59.64 dos_ef_per_ev_cell=5.52 pbc="T T T"
Re 1.908 2.144 2.144
C 1.908 0.000 0.000
Fe 0.000 0.000 2.144
Fe 0.000 2.144 0.000
Br 0.000 0.000 0.000

4
Lattice="-2.624 0.916 3.889 -2.386 -3.534 2.160 1.431 -1.585 4.277" Properties=species:S:1:pos:R:3 comment="GaCBr2 (PBEsol, optimized geometry)" de_polymorph_mev_per_atom=154 formation_energy_uncorrected_kcal_per_mol_atoms=33.84 dos_ef_per_ev_cell=2.40 pbc="T T T"
C 0.000 0.000 0.000
Ga -1.790 -2.101 5.163
Br -0.895 -1.050 2.581
Br -2.685 -3.151 7.744